[1]
A geometry-optimized KOsRh2 structure, computed with PBE-GGA.

Cell lengths 2.8030, 4.7017, 10.2465 Å; angles 90.00, 90.00, 90.00 degrees
Last column: nearest neighbours and their distance in Å.
Space group Cmm2 (No. 35)
Asymmetric unit:
K  0.0000  0.0000  0.0000 (multiplicity 2)  6 K 2.74-2.80
Os  0.0000  0.5000  0.2885 (multiplicity 2)  2 Rh 2.63, 6 Os 2.74-2.80
Rh  0.0000  0.0000  0.5055 (multiplicity 2)  2 Os 2.63, 8 Rh 2.69-2.80
Rh  0.0000  0.5000  0.7293 (multiplicity 2)  8 Rh 2.69-2.80

Computed properties:
Polymorph energy (0 for the lowest one)   332 meV per atom
E_form   0.771 eV/atom

=====

[2]
A geometry-optimized Tm3Ga4Pd structure, computed with PBE-GGA.

Cell lengths 3.4958, 5.9456, 16.8439 Å; angles 90.00, 90.00, 90.00 degrees
Last column: nearest neighbours and their distance in Å.
Space group Immm (No. 71)
Asymmetric unit:
Tm  0.0000  0.0000  0.0000 (multiplicity 2)  8 Ga 3.01
Tm  0.0000  0.5000  0.2260 (multiplicity 4)  6 Ga 2.96
Ga  0.0000  0.2638  0.3807 (multiplicity 8)  1 Pd 2.55, 1 Ga 2.81
Pd  0.0000  0.0000  0.5000 (multiplicity 2)  4 Ga 2.55

Computed properties:
E_form   -0.457 eV/atom

=====

[3]
A geometry-optimized Mg14FeCu structure, computed with PBE-GGA.

Cell lengths 9.9836, 6.2609, 10.6763 Å; angles 90.00, 90.00, 90.00 degrees
Last column: nearest neighbours and their distance in Å.
Space group Amm2 (No. 38)
Asymmetric unit:
Mg  0.0000  0.0000  0.0000 (multiplicity 2)  12 Mg 3.06-3.29
Mg  0.0000  0.0000  0.4994 (multiplicity 2)  12 Mg 3.06-3.29
Mg  0.0000  0.2495  0.7458 (multiplicity 4)  12 Mg 3.06-3.34
Mg  0.2539  0.0000  0.3300 (multiplicity 4)  11 Mg 3.00-3.16, 1 Cu 3.00
Mg  0.2546  0.0000  0.8328 (multiplicity 4)  11 Mg 3.00-3.19, 1 Fe 3.00
Mg  0.2793  0.2497  0.0736 (multiplicity 8)  1 Fe 2.83, 1 Cu 2.84, 6 Mg 3.00-3.16
Mg  0.5000  0.2490  0.7636 (multiplicity 4)  1 Cu 2.90, 1 Fe 2.92, 8 Mg 3.00-3.14
Fe  0.5000  0.0000  0.9950 (multiplicity 2)  8 Mg 2.83-3.00, 2 Cu 3.13
Cu  0.5000  0.0000  0.4917 (multiplicity 2)  8 Mg 2.84-3.00, 2 Fe 3.13

Computed properties:
E_form   0.072 eV/atom

=====

[4]
A geometry-optimized PrHo4Sb5 structure, computed with PBE-GGA.

Cell lengths 4.4065, 6.2366, 22.0211 Å; angles 90.00, 90.00, 90.00 degrees
Last column: nearest neighbours and their distance in Å.
Space group Immm (No. 71)
Asymmetric unit:
Pr  0.0000  0.0000  0.0000 (multiplicity 2)  6 Sb 3.12-3.19
Ho  0.0000  0.0000  0.2023 (multiplicity 4)  6 Sb 3.08-3.12
Ho  0.0000  0.0000  0.3997 (multiplicity 4)  6 Sb 3.10-3.12
Sb  0.0000  0.5000  0.0000 (multiplicity 2)  2 Pr 3.12, 4 Ho 3.12
Sb  0.0000  0.5000  0.1992 (multiplicity 4)  6 Ho 3.09-3.12
Sb  0.0000  0.5000  0.3954 (multiplicity 4)  4 Ho 3.08-3.12, 2 Pr 3.19

Computed properties:
Uncorrected formation energy   -11.2 eV per formula unit

=====

[5]
A geometry-optimized SrCaYMn2 structure, computed with PBE-GGA.

Cell lengths 5.1722, 5.1722, 5.5328 Å; angles 90.00, 90.00, 90.00 degrees
Last column: nearest neighbours and their distance in Å.
Space group P4/mmm (No. 123)
Asymmetric unit:
Sr  0.0000  0.0000  0.0000 (multiplicity 1)  2 Ca 2.77
Ca  0.0000  0.0000  0.5000 (multiplicity 1)  4 Mn 2.59, 2 Sr 2.77
Y  0.5000  0.5000  0.0000 (multiplicity 1)  4 Sr 3.66, 8 Mn 3.79
Mn  0.0000  0.5000  0.5000 (multiplicity 2)  2 Ca 2.59

Computed properties:
E_form   1.196 eV/atom

=====

[6]
A geometry-optimized YPaGa2 structure, computed with PBE-GGA.

Cell lengths 7.1523, 7.1523, 7.1523 Å; angles 90.00, 90.00, 90.00 degrees
Last column: nearest neighbours and their distance in Å.
Space group Fm-3m (No. 225)
Asymmetric unit:
Y  0.0000  0.0000  0.0000 (multiplicity 4)  8 Ga 3.10
Pa  0.0000  0.0000  0.5000 (multiplicity 4)  8 Ga 3.10
Ga  0.2500  0.2500  0.2500 (multiplicity 8)  4 Pa 3.10, 4 Y 3.10

Computed properties:
Polymorph energy (0 for the lowest one)   95 meV per atom
E_form   -0.301 eV/atom

=====

[7]
A geometry-optimized Rb3Hg9Au2 structure, computed with PBE-GGA.

Cell lengths 5.0263, 11.9949, 14.6981 Å; angles 90.00, 90.00, 90.00 degrees
Last column: nearest neighbours and their distance in Å.
Space group Immm (No. 71)
Asymmetric unit:
Rb  0.0000  0.0000  0.0000 (multiplicity 2)  12 Hg 3.80-3.94, 4 Au 4.05
Rb  0.0000  0.0000  0.3208 (multiplicity 4)  10 Hg 3.64-3.74, 2 Au 3.86
Hg  0.0000  0.2812  0.1194 (multiplicity 8)  2 Au 3.07, 4 Hg 3.15-3.20
Hg  0.0000  0.3632  0.3264 (multiplicity 8)  1 Au 2.98, 4 Hg 3.15-3.28
Hg  0.0000  0.5000  0.0000 (multiplicity 2)  4 Hg 3.16
Au  0.0000  0.2348  0.5000 (multiplicity 4)  6 Hg 2.98-3.07

Computed properties:
E_form   -0.200 eV/atom

=====

[8]
A geometry-optimized La12Tm3Tl structure, computed with PBE-GGA.

Cell lengths 5.1486, 5.1486, 20.7805 Å; angles 90.00, 90.00, 90.00 degrees
Last column: nearest neighbours and their distance in Å.
Space group P4/mmm (No. 123)
Asymmetric unit:
La  0.0000  0.0000  0.0000 (multiplicity 1)  8 La 3.63, 4 Tl 3.64
La  0.0000  0.0000  0.2494 (multiplicity 2)  4 Tm 3.64, 8 La 3.66-3.68
La  0.0000  0.0000  0.5000 (multiplicity 1)  4 Tm 3.64, 8 La 3.66
La  0.0000  0.5000  0.1229 (multiplicity 4)  2 Tl 3.63, 8 La 3.63-3.68, 2 Tm 3.68
La  0.0000  0.5000  0.3746 (multiplicity 4)  8 La 3.64-3.66, 4 Tm 3.66
Tm  0.5000  0.5000  0.2492 (multiplicity 2)  12 La 3.64-3.68
Tm  0.5000  0.5000  0.5000 (multiplicity 1)  12 La 3.64-3.66
Tl  0.5000  0.5000  0.0000 (multiplicity 1)  12 La 3.63-3.64

Computed properties:
E_form   -0.047 eV/atom

=====

[9]
A geometry-optimized Li8ZnPd2 structure, computed with PBE-GGA.

Cell lengths 9.7385, 9.3000, 4.5533 Å; angles 90.00, 102.42, 90.00 degrees
Last column: nearest neighbours and their distance in Å.
Space group C2/m (No. 12)
Asymmetric unit:
Li  0.0750  0.0000  0.2925 (multiplicity 4)  2 Pd 2.58-2.86, 3 Li 2.62-2.75
Li  0.1199  0.2512  0.8203 (multiplicity 8)  2 Pd 2.57-2.87, 2 Li 2.71, 1 Zn 2.79
Li  0.1506  0.5000  0.5333 (multiplicity 4)  2 Pd 2.49-2.58, 1 Zn 2.55, 3 Li 2.62-2.71
Zn  0.0000  0.5000  0.0000 (multiplicity 2)  8 Li 2.55-2.83, 2 Pd 2.55
Pd  0.2317  0.0000  0.9017 (multiplicity 4)  5 Li 2.49-2.58, 1 Zn 2.55

Computed properties:
Polymorph energy (0 for the lowest one)   71 meV per atom
E_form   -0.161 eV/atom

=====

[10]
A geometry-optimized BaMgAs4 structure, computed with PBE-GGA.

Cell lengths 8.3474, 8.3474, 8.3474 Å; angles 90.00, 90.00, 90.00 degrees
Last column: nearest neighbours and their distance in Å.
Space group F-43m (No. 216)
Asymmetric unit:
Ba  0.0000  0.0000  0.0000 (multiplicity 4)  12 As 3.48, 4 Mg 3.61
Mg  0.2500  0.2500  0.7500 (multiplicity 4)  12 As 3.44, 4 Ba 3.61
As  0.1170  0.1170  0.3830 (multiplicity 16)  3 As 2.76

Computed properties:
E_form   -0.186 eV/atom

=====

[11]
A geometry-optimized Na4Mn3AsSe8 structure, computed with PBE-GGA.

Cell lengths 7.6681, 7.6681, 20.8817 Å; angles 90.00, 90.00, 120.00 degrees
Last column: nearest neighbours and their distance in Å.
Space group R-3m (No. 166, hexagonal axes)
Asymmetric unit:
Na  0.0000  0.0000  0.0000 (multiplicity 3)  6 Se 2.97
Na  0.0000  0.5000  0.0000 (multiplicity 9)  6 Se 3.02-3.04
Mn  0.0000  0.5000  0.5000 (multiplicity 9)  6 Se 2.61-2.63
As  0.0000  0.0000  0.5000 (multiplicity 3)  6 Se 2.69
Se  0.0000  0.0000  0.2346 (multiplicity 6)  3 Mn 2.63
Se  0.0093  0.5046  0.7647 (multiplicity 18)  2 Mn 2.61, 1 As 2.69

Computed properties:
Uncorrected formation energy   -10.5 eV per formula unit

=====

[12]
A geometry-optimized Zn7PdAu2 structure, computed with PBE-GGA.

Cell lengths 4.3050, 4.3050, 10.4684 Å; angles 90.00, 90.00, 120.00 degrees
Last column: nearest neighbours and their distance in Å.
Space group P3m1 (No. 156)
Asymmetric unit:
Zn  0.0000  0.0000  0.0000 (multiplicity 1)  5 Zn 2.54-2.75
Zn  0.0000  0.0000  0.2428 (multiplicity 1)  4 Zn 2.54-2.60, 4 Au 2.69-2.73
Zn  0.0000  0.0000  0.7505 (multiplicity 1)  1 Au 2.59, 4 Zn 2.61-2.87, 3 Pd 2.72
Zn  0.3333  0.6667  0.4175 (multiplicity 1)  4 Au 2.64-2.84, 3 Zn 2.71
Zn  0.3333  0.6667  0.8880 (multiplicity 1)  3 Pd 2.51, 1 Au 2.70, 3 Zn 2.75
Zn  0.6667  0.3333  0.3146 (multiplicity 1)  6 Zn 2.60-2.71
Zn  0.6667  0.3333  0.6080 (multiplicity 1)  1 Pd 2.59, 3 Au 2.72
Pd  0.6667  0.3333  0.8550 (multiplicity 1)  7 Zn 2.51-2.72
Au  0.0000  0.0000  0.5034 (multiplicity 1)  8 Zn 2.59-2.73
Au  0.3333  0.6667  0.1458 (multiplicity 1)  8 Zn 2.69-2.92

Computed properties:
Polymorph energy (0 for the lowest one)   0 meV per atom
E_form   -0.152 eV/atom